Entry 1:
PaTi2As: optimized geometry, PBE-GGA.

Unit cell a=4.4072 b=4.4072 c=3.6833 alpha=90.00 beta=90.00 gamma=90.00
Positions (direct):
Pa 0.0000 0.0000 0.0000
Ti 0.0000 0.5000 0.5000
Ti 0.5000 0.0000 0.5000
As 0.5000 0.5000 0.0000

Values from the calculation:
Crystal system ... tetragonal
DOS(E_F) ... 5.32 states/eV per cell
Volume ... 71.5 Å³/cell
Formation energy ... -0.390 eV per atom

Entry 2:
LaHN2: optimized geometry, PBE-GGA.

Unit cell a=4.2360 b=4.2360 c=4.2360 alpha=56.81 beta=56.81 gamma=56.81
Positions (direct):
La 0.0000 0.0000 0.0000
H 0.5000 0.5000 0.5000
N 0.2401 0.2401 0.2401
N 0.7599 0.7599 0.7599

Values from the calculation:
Total energy ... -5.60 eV/atom
Crystal system ... trigonal
DOS(E_F) ... 1.64 states/eV per cell
Volume ... 49.8 Å³/cell

Entry 3:
Tm3CuTe: optimized geometry, PBE-GGA.

Unit cell a=10.9556 b=10.9556 c=6.1427 alpha=98.67 beta=98.67 gamma=20.48
Positions (direct):
Tm 0.0040 0.0040 0.2578
Tm 0.2006 0.2006 0.1294
Tm 0.3670 0.3670 0.4281
Tm 0.6330 0.6330 0.5719
Tm 0.7994 0.7994 0.8706
Tm 0.9960 0.9960 0.7422
Cu 0.2311 0.2311 0.6113
Cu 0.7689 0.7689 0.3886
Te 0.4116 0.4116 0.9638
Te 0.5884 0.5884 0.0362

Values from the calculation:
Crystal system ... monoclinic
DOS(E_F) ... 7.75 states/eV per cell
Formation energy from raw total energies ... -53.2 kJ per mole of atoms
Volume ... 254.9 Å³/cell